# 1
Crystalline PmNi5Sb at its relaxed geometry. Source: Alexandria, functional PBE.

Results
**V**: 411.95 Å³/cell
**Formation energy (no corrections)**: -342 meV/atom

abc: 8.077 4.990 10.221
angles: 90.00 90.00 90.00
Element x y z (fractional)
1 Pm 0.249 0.250 0.057
2 Pm 0.251 0.750 0.557
3 Pm 0.749 0.250 0.443
4 Pm 0.751 0.750 0.943
5 Ni 0.065 0.250 0.598
6 Ni 0.068 0.000 0.808
7 Ni 0.068 0.500 0.808
8 Ni 0.087 0.750 0.019
9 Ni 0.181 0.750 0.251
10 Ni 0.319 0.250 0.751
11 Ni 0.413 0.250 0.519
12 Ni 0.432 0.000 0.308
13 Ni 0.432 0.500 0.308
14 Ni 0.435 0.750 0.098
15 Ni 0.565 0.250 0.902
16 Ni 0.568 0.000 0.692
17 Ni 0.568 0.500 0.692
18 Ni 0.587 0.750 0.481
19 Ni 0.681 0.750 0.249
20 Ni 0.819 0.250 0.749
21 Ni 0.913 0.250 0.981
22 Ni 0.932 0.000 0.192
23 Ni 0.932 0.500 0.192
24 Ni 0.935 0.750 0.402
25 Sb 0.146 0.250 0.357
26 Sb 0.354 0.750 0.857
27 Sb 0.646 0.250 0.143
28 Sb 0.854 0.750 0.643

# 2
Crystalline Pm2Ni4SnSb3 at its relaxed geometry. Source: Alexandria, functional PBE.

Results
**V**: 198.81 Å³/cell
**Formation energy (no corrections)**: -627 meV/atom

abc: 4.405 4.405 10.246
angles: 90.00 90.00 90.00
Element x y z (fractional)
1 Pm 0.000 0.500 0.238
2 Pm 0.500 0.000 0.762
3 Ni 0.000 0.000 0.000
4 Ni 0.000 0.500 0.630
5 Ni 0.500 0.000 0.370
6 Ni 0.500 0.500 0.000
7 Sn 0.000 0.000 0.500
8 Sb 0.000 0.500 0.873
9 Sb 0.500 0.000 0.127
10 Sb 0.500 0.500 0.500

# 3
Crystalline PmTcNiSb at its relaxed geometry. Source: Alexandria, functional PBE.

Results
**V**: 74.24 Å³/cell
**Formation energy (no corrections)**: -62 meV/atom

abc: 4.718 4.718 4.718
angles: 60.00 60.00 60.00
Element x y z (fractional)
1 Pm 0.000 0.000 0.000
2 Tc 0.750 0.750 0.750
3 Ni 0.250 0.250 0.250
4 Sb 0.500 0.500 0.500